<A>
A relaxed structure of RbTl3Se2, computed with PBE.

Cell lengths 18.8324, 4.3926, 10.8557 Å; angles 90.00, 104.98, 90.00 degrees
With the nearest neighbours (Å) after each atom.
Space group C2/m (No. 12)
Unique sites:
1 Rb 0.0953 0.0000 0.1310  6 Se 3.61-3.84, 1 Tl 3.68, 1 Rb 3.96
2 Tl 0.0583 0.0000 0.6625  2 Se 3.01
3 Tl 0.1631 0.5000 0.5066  3 Se 3.10-3.13
4 Tl 0.2114 0.5000 0.8816  3 Se 2.90-3.17
5 Se 0.0539 0.5000 0.8503  3 Tl 2.90-3.01
6 Se 0.2429 0.0000 0.6925  6 Tl 3.10-3.41

**Total magnetization**: 0.0 Bohr magnetons per cell

<B>
A relaxed structure of RbTl3Se2, computed with PBE.

Cell lengths 16.6537, 4.8026, 11.5075 Å; angles 90.00, 112.48, 90.00 degrees
With the nearest neighbours (Å) after each atom.
Space group C2/m (No. 12)
Unique sites:
1 Rb 0.1293 0.0000 0.0315  7 Se 3.53-3.80
2 Tl 0.0318 0.0000 0.3582  2 Se 3.04, 2 Tl 3.38
3 Tl 0.1115 0.5000 0.6430  2 Se 3.02, 2 Tl 3.38
4 Tl 0.2073 0.5000 0.3891  2 Se 2.87-2.95
5 Se 0.0293 0.5000 0.1943  3 Tl 2.95-3.04
6 Se 0.2093 0.0000 0.7881  3 Tl 2.87-3.02

**Total magnetization**: 0.0 Bohr magnetons per cell

Q: What are the energies relative to the best structure? A: <A> 0.000; <B> 0.030, in eV/atom.

<A>
A relaxed structure of RbTlSe, computed with PBE.

Cell lengths 4.0545, 4.0545, 12.3265 Å; angles 90.00, 90.00, 90.00 degrees
With the nearest neighbours (Å) after each atom.
Space group I4mm (No. 107)
Unique sites:
1 Rb 0.0000 0.0000 0.0000  5 Tl 3.52-3.90, 4 Se 3.59
2 Tl 0.0000 0.0000 0.7142  4 Se 3.17, 1 Rb 3.52
3 Se 0.0000 0.0000 0.3241  4 Tl 3.17

**Total magnetization**: 0.0 Bohr magnetons per cell

<B>
A relaxed structure of RbTlSe, computed with PBE.

Cell lengths 14.0012, 4.3982, 8.5516 Å; angles 90.00, 106.26, 90.00 degrees
With the nearest neighbours (Å) after each atom.
Space group C2/m (No. 12)
Unique sites:
1 Rb 0.0000 0.0000 0.0000  4 Se 3.48, 4 Tl 3.87
2 Rb 0.0000 0.0000 0.5000  4 Se 3.49
3 Tl 0.2309 0.5000 0.1888  3 Se 3.00-3.18
4 Se 0.1232 0.5000 0.8081  3 Tl 3.00-3.18

**Total magnetization**: 0.0 Bohr magnetons per cell

Q: What are the energies relative to the best structure? A: <A> 0.093; <B> 0.000, in eV/atom.

<A>
A relaxed structure of RbTlSe, computed with PBE.

Cell lengths 12.1849, 4.9227, 8.3893 Å; angles 90.00, 106.59, 90.00 degrees
With the nearest neighbours (Å) after each atom.
Space group C2/m (No. 12)
Unique sites:
1 Rb 0.1136 0.0000 0.3267  4 Se 3.45-3.74, 2 Tl 3.86
2 Tl 0.1203 0.5000 0.9096  3 Se 3.00-3.09
3 Se 0.2050 0.0000 0.7560  3 Tl 3.00-3.09

**Total magnetization**: 0.0 Bohr magnetons per cell

<B>
A relaxed structure of RbTlSe, computed with PBE.

Cell lengths 7.8605, 7.8605, 7.8605 Å; angles 90.00, 90.00, 90.00 degrees
With the nearest neighbours (Å) after each atom.
Space group F-43m (No. 216)
Unique sites:
1 Rb 0.0000 0.0000 0.0000  4 Se 3.40
2 Tl 0.0000 0.0000 0.5000  4 Se 3.40
3 Se 0.2500 0.2500 0.2500  4 Tl 3.40, 4 Rb 3.40

**Total magnetization**: 0.0 Bohr magnetons per cell

Q: What are the energies relative to the best structure? A: <A> 0.000; <B> 0.065, in eV/atom.

<A>
A relaxed structure of RbTlSe, computed with PBE.

Cell lengths 4.7752, 6.7833, 8.0188 Å; angles 66.35, 89.74, 89.75 degrees
With the nearest neighbours (Å) after each atom.
Space group P-1 (No. 2)
Unique sites:
1 Rb 0.2469 0.2082 0.1041  4 Se 3.44-3.53
2 Tl 0.2514 0.2449 0.5727  3 Se 2.98-3.10
3 Se 0.2515 0.6460 0.2337  3 Tl 2.98-3.10

**Total magnetization**: 0.0 Bohr magnetons per cell

<B>
A relaxed structure of RbTlSe, computed with PBE.

Cell lengths 4.4137, 16.0155, 6.8038 Å; angles 90.00, 90.00, 90.00 degrees
With the nearest neighbours (Å) after each atom.
Space group Cmcm (No. 63)
Unique sites:
1 Rb 0.0000 0.1851 0.2500  4 Se 3.44-3.45
2 Tl 0.0000 0.4653 0.2500  2 Se 2.88
3 Se 0.0000 0.1501 0.7500  2 Tl 2.88

**Total magnetization**: 0.0 Bohr magnetons per cell

Q: What are the energies relative to the best structure? A: <A> 0.000; <B> 0.013, in eV/atom.

<A>
A relaxed structure of Rb2Tl2Se, computed with PBE.

Cell lengths 5.2268, 5.2268, 15.6638 Å; angles 90.00, 90.00, 90.00 degrees
With the nearest neighbours (Å) after each atom.
Space group I4/mmm (No. 139)
Unique sites:
1 Rb 0.0000 0.5000 0.2500  4 Tl 3.63, 4 Rb 3.70
2 Tl 0.0000 0.0000 0.0887  1 Tl 2.78
3 Se 0.0000 0.0000 0.5000  8 Tl 3.95

**Total magnetization**: 0.0 Bohr magnetons per cell

<B>
A relaxed structure of Rb2Tl2Se, computed with PBE.

Cell lengths 8.1958, 8.1958, 5.9678 Å; angles 90.00, 90.00, 90.00 degrees
With the nearest neighbours (Å) after each atom.
Space group P4/mbm (No. 127)
Unique sites:
1 Rb 0.1883 0.3117 0.0000  6 Tl 3.64-4.00
2 Tl 0.1320 0.6320 0.5000  1 Tl 3.06, 2 Se 3.20
3 Se 0.0000 0.0000 0.5000  4 Tl 3.20

**Total magnetization**: 0.0 Bohr magnetons per cell

Q: What are the energies relative to the best structure? A: <A> 0.377; <B> 0.000, in eV/atom.

<A>
A relaxed structure of Rb2USe4, computed with PBE.

Cell lengths 7.6968, 7.6968, 34.7309 Å; angles 90.00, 90.00, 90.00 degrees
With the nearest neighbours (Å) after each atom.
Space group I4_1/acd (No. 142, origin choice 2)
Unique sites:
1 Rb 0.0000 0.2500 0.0523  9 Se 3.54-3.85
2 U 0.0000 0.2500 0.3750  6 Se 2.61-2.72
3 Se 0.0000 0.2500 0.2997  1 U 2.61
4 Se 0.2492 0.0008 0.1250  2 U 2.72

**Total magnetization**: 0.7 Bohr magnetons per cell

<B>
A relaxed structure of Rb2USe4, computed with PBE.

Cell lengths 7.4768, 4.2782, 8.8680 Å; angles 90.00, 113.49, 90.00 degrees
With the nearest neighbours (Å) after each atom.
Space group P2/m (No. 10)
Unique sites:
1 Rb 0.2188 0.0000 0.3388  6 Se 3.45-3.58
2 U 0.5000 0.5000 0.0000  6 Se 2.61-2.77
3 Se 0.2506 0.0000 0.9600  2 U 2.77
4 Se 0.4087 0.5000 0.6834  1 U 2.61

**Total magnetization**: 0.1 Bohr magnetons per cell

Q: What are the energies relative to the best structure? A: <A> 0.000; <B> 0.067, in eV/atom.

<A>
A relaxed structure of Rb3USe4, computed with PBE.

Cell lengths 8.0415, 11.4809, 8.7962 Å; angles 90.00, 90.00, 90.00 degrees
With the nearest neighbours (Å) after each atom.
Space group Imm2 (No. 44)
Unique sites:
1 Rb 0.0000 0.0000 0.0000  4 Se 3.27-3.54
2 Rb 0.0000 0.2189 0.4829  3 Se 3.37-3.59
3 U 0.0000 0.5000 0.9767  4 Se 2.59-2.63
4 Se 0.0000 0.2958 0.1127  1 U 2.63
5 Se 0.2450 0.0000 0.2963  1 U 2.59

**Total magnetization**: 2.0 Bohr magnetons per cell

<B>
A relaxed structure of Rb3USe4, computed with PBE.

Cell lengths 8.4551, 9.5104, 7.6765 Å; angles 90.00, 109.31, 90.00 degrees
With the nearest neighbours (Å) after each atom.
Space group P2/c (No. 13)
Unique sites:
1 Rb 0.0000 0.1121 0.2500  4 Se 3.35-3.37
2 Rb 0.0000 0.3801 0.7500  2 Se 3.31
3 Rb 0.5000 0.3874 0.2500  6 Se 3.43-3.45
4 U 0.5000 0.1164 0.7500  6 Se 2.71-2.86
5 Se 0.2861 0.3151 0.5518  1 U 2.71
6 Se 0.3169 0.0962 0.9998  2 U 2.84-2.86

**Total magnetization**: 2.0 Bohr magnetons per cell

Q: What are the energies relative to the best structure? A: <A> 0.281; <B> 0.000, in eV/atom.

<A>
A relaxed structure of RbVSe4, computed with PBE.

Cell lengths 8.2245, 16.2683, 6.0172 Å; angles 90.00, 93.01, 90.00 degrees
With the nearest neighbours (Å) after each atom.
Space group C2/c (No. 15)
Unique sites:
1 Rb 0.0000 0.1367 0.2500  8 Se 3.60-3.65
2 V 0.0000 0.4482 0.7500  6 Se 2.41-2.52
3 Se 0.0815 0.3148 0.5942  1 Se 2.36, 1 V 2.47
4 Se 0.2085 0.4813 0.0585  2 V 2.41-2.52

**Total magnetization**: 0.0 Bohr magnetons per cell

<B>
A relaxed structure of RbVSe4, computed with PBE.

Cell lengths 15.5484, 8.0316, 5.5889 Å; angles 90.00, 92.96, 90.00 degrees
With the nearest neighbours (Å) after each atom.
Space group C2/m (No. 12)
Unique sites:
1 Rb 0.1801 0.0000 0.1990  8 Se 3.54-3.86
2 V 0.0165 0.5000 0.2776  7 Se 2.49-2.69, 1 V 2.56
3 Se 0.0000 0.2534 0.0000  2 V 2.52, 2 Se 2.78
4 Se 0.1000 0.3075 0.6082  2 V 2.49-2.69, 2 Se 2.73-2.78
5 Se 0.1792 0.5000 0.2831  1 V 2.53, 2 Se 2.73

**Total magnetization**: 0.0 Bohr magnetons per cell

Q: What are the energies relative to the best structure? A: <A> 0.000; <B> 0.058, in eV/atom.